In2CoAu2 after structural relaxation. Source: the Alexandria database, functional GGA-PBE.

Unit cell a=6.9785 b=6.9785 c=4.1236 alpha=90.00 beta=90.00 gamma=90.00
Space group P4/mbm (No. 127)
One atom of each set of equivalent atoms:
In  0.1675  0.3325  0.0000 x4
Co  0.0000  0.0000  0.5000 x2
Au  0.1453  0.6453  0.5000 x4

The total energy is -36.21 eV/cell. The size of the total moment is 3.16 μB per cell.